Record 1
# RbInGe2Au

A relaxed structure of RbInGe2Au (PBE-GGA, Alexandria via LeMat-Bulk).

Computed properties:
Its space-group type is P4/mmm, No. 123. The total magnetization comes out at 0.02 μB/atom. The value obtained for the formation energy is 1620 meV/atom.

Cell: 5.7518 5.7518 6.1429 Å, 90.00 90.00 90.00°
Fractional coordinates of all 5 atoms:
Rb: 0.0000 0.0000 0.0000
In: 0.0000 0.0000 0.5000
Ge: 0.0000 0.5000 0.0000
Ge: 0.5000 0.0000 0.0000
Au: 0.5000 0.5000 0.5000



Record 2
# In2GeRuAu

A relaxed structure of In2GeRuAu (PBE-GGA, Alexandria via LeMat-Bulk).

Computed properties:
Its space-group type is P4/mmm, No. 123. The total magnetization comes out at 0.40 μB/atom. The value obtained for the formation energy is 969 meV/atom.

Cell: 5.1300 5.1300 5.1579 Å, 90.00 90.00 90.00°
Fractional coordinates of all 5 atoms:
In: 0.0000 0.5000 0.0000
In: 0.5000 0.0000 0.0000
Ge: 0.0000 0.0000 0.5000
Ru: 0.5000 0.5000 0.5000
Au: 0.5000 0.5000 0.0000



Record 3
# InGe2RuAu

A relaxed structure of InGe2RuAu (PBE-GGA, Alexandria via LeMat-Bulk).

Computed properties:
Its space-group type is P4/mmm, No. 123. The total magnetization comes out at 0.00 μB/atom. The value obtained for the formation energy is 119 meV/atom.

Cell: 4.7049 4.7049 5.2561 Å, 90.00 90.00 90.00°
Fractional coordinates of all 5 atoms:
In: 0.0000 0.0000 0.0000
Ge: 0.0000 0.5000 0.5000
Ge: 0.5000 0.0000 0.5000
Ru: 0.0000 0.0000 0.5000
Au: 0.5000 0.5000 0.0000